Material: VSiO
Method: DFT, GGA+U
State: optimized geometry

Lattice parameters (Å, degrees): 10.5172 2.8405 2.8405 58.02 90.00 90.00
Atoms (fractional coordinates):
V (0.1924, 0.0000, 0.0000)
V (0.8076, 0.0000, 0.0000)
Si (0.0000, 0.6672, 0.6672)
Si (0.5000, 0.8209, 0.8209)
O (0.3040, 0.3230, 0.3230)
O (0.6960, 0.3230, 0.3230)

Summary:
calculated density = 4.38 g/cm3
magnetic moment = 0.325 μB per atom
calculated total energy = -6.457 eV/atom
crystal system = orthorhombic